# 1
Material: MgInSn4
Method: DFT, GGA-PBE
State: relaxed

Computed properties:
The calculation puts the density of states at the Fermi level at 6.51 states/eV per cell. The formation energy is 0.017 eV per atom. For the energy above the lowest structure with this stoichiometry, the calculation gives 8 meV/atom. The total energy comes out at -3.37 eV/atom. The volume comes out at 160 Å³/f.u. Its total magnetic moment is 0.000 μB per atom.

Geometry as POSCAR:
```
MgInSn4
1.0
6.509 0.000 0.000
0.000 9.107 0.000
-2.118 0.000 5.414
Mg In Sn
2 2 8
Cartesian
0.000 0.000 0.000
-1.059 4.553 2.707
3.254 0.000 0.000
2.195 4.553 2.707
-0.413 1.479 2.911
0.646 3.075 0.204
0.496 6.021 5.095
1.555 7.639 2.388
2.836 1.467 3.026
3.895 3.086 0.319
3.745 6.032 5.210
4.804 7.628 2.503
```



# 2
Material: Mg12In6Sn
Method: DFT, GGA-PBE
State: relaxed

Computed properties:
The calculation puts the density of states at the Fermi level at 8.86 states/eV per cell. The formation energy is -0.005 eV per atom. For the energy above the lowest structure with this stoichiometry, the calculation gives 0 meV/atom. The total energy comes out at -2.09 eV/atom. The volume comes out at 464 Å³/f.u. Its total magnetic moment is 0.000 μB per atom.

Geometry as POSCAR:
```
Mg12In6Sn
1.0
5.529 3.192 4.380
-5.529 3.192 4.380
0.000 -6.385 4.380
Mg In Sn
12 6 1
Cartesian
-1.580 -4.865 5.481
-5.003 -1.064 7.658
-1.183 -1.483 4.121
-3.423 3.801 5.481
-0.693 1.766 4.121
1.876 -0.283 4.121
-1.876 0.283 9.018
0.693 -1.766 9.018
3.423 -3.801 7.658
1.183 1.483 9.018
5.003 1.064 5.481
1.580 4.865 7.658
-2.302 -2.285 6.990
-3.130 0.851 6.148
0.828 -3.136 6.148
-0.828 3.136 6.990
3.130 -0.851 6.990
2.302 2.285 6.148
0.000 0.000 6.569
```



# 3
Material: Mg2In8Sn
Method: DFT, GGA-PBE
State: relaxed

Computed properties:
The calculation puts the density of states at the Fermi level at 4.28 states/eV per cell. The formation energy is 0.021 eV per atom. For the energy above the lowest structure with this stoichiometry, the calculation gives 19 meV/atom. The total energy comes out at -2.62 eV/atom. The volume comes out at 296 Å³/f.u. Its total magnetic moment is 0.000 μB per atom.

Geometry as POSCAR:
```
Mg2In8Sn
1.0
9.603 -2.313 0.000
9.603 2.313 0.000
-2.688 0.000 6.666
Mg In Sn
2 8 1
Cartesian
2.992 0.000 1.573
13.526 0.000 5.093
-0.136 0.000 1.538
1.705 0.000 5.417
5.237 0.000 3.519
7.535 0.000 0.249
8.983 0.000 6.417
11.281 0.000 3.147
14.813 0.000 1.249
16.654 0.000 5.128
8.259 0.000 3.333
```



# 4
Material: MgIn15Sn4
Method: DFT, GGA-PBE
State: relaxed

Computed properties:
The calculation puts the density of states at the Fermi level at 9.25 states/eV per cell. The formation energy is 0.020 eV per atom. The total energy comes out at -2.91 eV/atom. The volume comes out at 538 Å³/f.u. Its total magnetic moment is 0.000 μB per atom.

Geometry as POSCAR:
```
MgIn15Sn4
1.0
4.493 0.000 0.000
0.000 4.493 0.000
0.000 0.000 26.651
Mg In Sn
1 15 4
Cartesian
0.000 0.000 0.000
0.000 2.246 2.549
0.000 2.246 7.968
0.000 2.246 13.326
0.000 2.246 18.683
0.000 2.246 24.102
2.246 0.000 2.549
2.246 0.000 7.968
2.246 0.000 13.326
2.246 0.000 18.683
2.246 0.000 24.102
2.246 2.246 0.000
2.246 2.246 5.225
2.246 2.246 10.617
2.246 2.246 16.035
2.246 2.246 21.426
0.000 0.000 5.254
0.000 0.000 10.673
0.000 0.000 15.978
0.000 0.000 21.397
```



# 5
Material: MgIn2Sn
Method: DFT, GGA-PBE
State: relaxed

Computed properties:
The calculation puts the density of states at the Fermi level at 3.96 states/eV per cell. The formation energy is 0.054 eV per atom. For the energy above the lowest structure with this stoichiometry, the calculation gives 103 meV/atom. The total energy comes out at -2.71 eV/atom. The volume comes out at 112 Å³/f.u. Its total magnetic moment is 0.000 μB per atom.

Geometry as POSCAR:
```
MgIn2Sn
1.0
4.817 0.000 0.000
-2.408 4.172 0.000
0.000 0.000 16.692
Mg In Sn
3 6 3
Cartesian
0.000 0.000 0.000
0.000 2.781 11.128
2.408 1.391 5.564
0.000 0.000 6.578
0.000 0.000 9.793
0.000 2.781 1.013
0.000 2.781 4.229
2.408 1.391 12.142
2.408 1.391 15.358
0.000 0.000 13.621
0.000 2.781 8.057
2.408 1.391 2.493
```



# 6
Material: Mg6In5Sn
Method: DFT, GGA-PBE
State: relaxed

Computed properties:
The calculation puts the density of states at the Fermi level at 3.95 states/eV per cell. The formation energy is -0.098 eV per atom. For the energy above the lowest structure with this stoichiometry, the calculation gives 0 meV/atom. The total energy comes out at -2.37 eV/atom. The volume comes out at 282 Å³/f.u. Its total magnetic moment is 0.000 μB per atom.

Geometry as POSCAR:
```
Mg6In5Sn
1.0
-2.317 4.383 6.945
2.317 -4.383 6.945
2.317 4.383 -6.945
Mg In Sn
6 5 1
Cartesian
2.317 2.181 -2.307
0.000 2.176 0.000
2.317 2.181 2.307
0.000 2.202 4.638
0.000 6.590 0.000
0.000 2.202 9.251
0.000 0.000 2.362
2.317 0.000 4.669
0.000 0.000 6.945
0.000 4.383 2.276
0.000 0.000 11.528
2.317 0.000 0.000
```



# 7
Material: Mg6InSn2
Method: DFT, GGA-PBE
State: relaxed

Computed properties:
The calculation puts the density of states at the Fermi level at 3.63 states/eV per cell. The formation energy is -0.101 eV per atom. For the energy above the lowest structure with this stoichiometry, the calculation gives 0 meV/atom. The total energy comes out at -2.36 eV/atom. The volume comes out at 210 Å³/f.u. Its total magnetic moment is 0.000 μB per atom.

Geometry as POSCAR:
```
Mg6InSn2
1.0
5.047 -6.592 0.000
5.047 6.592 0.000
-1.074 0.000 3.161
Mg In Sn
6 1 2
Cartesian
2.487 4.398 2.640
6.533 4.398 0.521
2.477 0.000 2.643
6.542 0.000 0.519
2.487 -4.398 2.640
6.533 -4.398 0.521
-0.537 0.000 1.581
4.510 2.196 1.581
4.510 -2.196 1.581
```



# 8
Material: MgInSn4
Method: DFT, GGA-PBE
State: relaxed

Computed properties:
The calculation puts the density of states at the Fermi level at 6.12 states/eV per cell. The formation energy is 0.009 eV per atom. For the energy above the lowest structure with this stoichiometry, the calculation gives 0 meV/atom. The total energy comes out at -3.38 eV/atom. The volume comes out at 162 Å³/f.u. Its total magnetic moment is 0.000 μB per atom.

Geometry as POSCAR:
```
MgInSn4
1.0
7.533 0.000 0.000
0.000 11.885 0.000
-2.256 0.000 3.611
Mg In Sn
2 2 8
Cartesian
0.000 0.000 0.000
3.766 5.942 0.000
-1.128 5.942 1.806
2.638 0.000 1.806
0.177 1.842 2.700
0.177 10.043 2.700
1.333 4.101 0.912
1.333 7.784 0.912
3.944 4.101 2.700
3.944 7.784 2.700
5.099 1.842 0.912
5.099 10.043 0.912
```



# 9
Material: Mg6In12Sn
Method: DFT, GGA-PBE
State: relaxed

Computed properties:
The calculation puts the density of states at the Fermi level at 5.65 states/eV per cell. The formation energy is 0.002 eV per atom. For the energy above the lowest structure with this stoichiometry, the calculation gives 0 meV/atom. The total energy comes out at -2.44 eV/atom. The volume comes out at 495 Å³/f.u. Its total magnetic moment is 0.000 μB per atom.

Geometry as POSCAR:
```
Mg6In12Sn
1.0
6.667 3.849 3.216
-6.667 3.849 3.216
0.000 -7.699 3.216
Mg In Sn
6 12 1
Cartesian
-1.744 -0.970 2.458
1.712 -1.025 2.458
0.032 1.995 2.458
-0.032 -1.995 7.190
-1.712 1.025 7.190
1.744 0.970 7.190
-4.268 2.417 2.621
0.040 -4.905 2.621
-1.762 -3.067 4.807
-3.537 -0.007 4.841
-4.227 -2.487 7.027
-1.775 3.060 4.807
1.775 -3.060 4.841
4.227 2.487 2.621
3.537 0.007 4.807
1.762 3.067 4.841
-0.040 4.905 7.027
4.268 -2.417 7.027
0.000 0.000 4.824
```



# 10
Material: MgInSn2
Method: DFT, GGA-PBE
State: relaxed

Computed properties:
The calculation puts the density of states at the Fermi level at 10.46 states/eV per cell. The formation energy is 0.059 eV per atom. For the energy above the lowest structure with this stoichiometry, the calculation gives 113 meV/atom. The total energy comes out at -3.03 eV/atom. The volume comes out at 108 Å³/f.u. Its total magnetic moment is 0.000 μB per atom.

Geometry as POSCAR:
```
MgInSn2
1.0
8.299 0.000 0.000
0.000 8.299 0.000
0.000 0.000 6.268
Mg In Sn
4 4 8
Cartesian
0.000 0.000 0.000
0.000 4.149 1.567
4.149 0.000 4.701
4.149 4.149 3.134
0.000 0.000 3.134
0.000 4.149 4.701
4.149 0.000 1.567
4.149 4.149 0.000
2.024 6.224 3.918
2.075 2.024 2.351
2.075 2.126 5.485
2.126 6.224 0.784
6.173 2.075 0.784
6.224 6.173 5.485
6.224 6.275 2.351
6.275 2.075 3.918
```



# 11
Material: Mg15In4Sn
Method: DFT, GGA-PBE
State: relaxed

Computed properties:
The calculation puts the density of states at the Fermi level at 11.52 states/eV per cell. The formation energy is -0.080 eV per atom. The total energy comes out at -2.02 eV/atom. The volume comes out at 453 Å³/f.u. Its total magnetic moment is 0.000 μB per atom.

Geometry as POSCAR:
```
Mg15In4Sn
1.0
4.519 0.000 0.000
0.000 4.519 0.000
0.000 0.000 22.175
Mg In Sn
15 4 1
Cartesian
0.000 0.000 0.000
0.000 0.000 4.428
0.000 0.000 8.866
0.000 0.000 13.309
0.000 0.000 17.747
0.000 2.260 2.225
0.000 2.260 6.641
0.000 2.260 11.088
0.000 2.260 15.534
0.000 2.260 19.950
2.260 0.000 2.225
2.260 0.000 6.641
2.260 0.000 11.088
2.260 0.000 15.534
2.260 0.000 19.950
2.260 2.260 4.449
2.260 2.260 8.873
2.260 2.260 13.302
2.260 2.260 17.726
2.260 2.260 0.000
```



# 12
Material: Mg2InSn2
Method: DFT, GGA-PBE
State: relaxed

Computed properties:
The calculation puts the density of states at the Fermi level at 4.72 states/eV per cell. The formation energy is -0.038 eV per atom. For the energy above the lowest structure with this stoichiometry, the calculation gives 41 meV/atom. The total energy comes out at -2.83 eV/atom. The volume comes out at 131 Å³/f.u. Its total magnetic moment is 0.000 μB per atom.

Geometry as POSCAR:
```
Mg2InSn2
1.0
4.547 0.000 0.000
0.000 13.426 0.000
0.000 0.000 4.308
Mg In Sn
4 2 4
Cartesian
0.000 2.193 0.000
0.000 11.234 0.000
2.273 4.521 0.000
2.273 8.906 0.000
0.000 0.000 2.154
2.273 6.713 2.154
0.000 4.535 2.154
0.000 8.891 2.154
2.273 2.178 2.154
2.273 11.249 2.154
```



# 13
Material: Mg3In3Sn
Method: DFT, GGA-PBE
State: relaxed

Computed properties:
The calculation puts the density of states at the Fermi level at 6.48 states/eV per cell. The formation energy is 0.564 eV per atom. For the energy above the lowest structure with this stoichiometry, the calculation gives 587 meV/atom. The total energy comes out at -1.86 eV/atom. The volume comes out at 249 Å³/f.u. Its total magnetic moment is 0.000 μB per atom.

Geometry as POSCAR:
```
Mg3In3Sn
1.0
7.925 0.000 0.000
0.000 7.925 0.000
0.000 0.000 7.925
Mg In Sn
6 6 2
Cartesian
0.000 1.981 3.963
0.000 5.944 3.963
1.981 3.963 0.000
3.963 0.000 1.981
3.963 0.000 5.944
5.944 3.963 0.000
0.000 3.963 1.981
0.000 3.963 5.944
1.981 0.000 3.963
3.963 1.981 0.000
3.963 5.944 0.000
5.944 0.000 3.963
0.000 0.000 0.000
3.963 3.963 3.963
```



# 14
Material: MgInSn
Method: DFT, GGA-PBE
State: relaxed

Computed properties:
The calculation puts the density of states at the Fermi level at 2.70 states/eV per cell. The formation energy is -0.052 eV per atom. The total energy comes out at -2.83 eV/atom. The volume comes out at 75 Å³/f.u. Its total magnetic moment is 0.000 μB per atom.

Geometry as POSCAR:
```
MgInSn
1.0
3.403 0.000 0.000
0.000 3.403 0.000
0.000 0.000 12.972
Mg In Sn
2 2 2
Cartesian
0.000 0.000 0.000
1.702 1.702 6.486
0.000 0.000 4.369
1.702 1.702 10.855
0.000 0.000 8.540
1.702 1.702 2.054
```



# 15
Material: MgIn4Sn
Method: DFT, GGA-PBE
State: relaxed

Computed properties:
The calculation puts the density of states at the Fermi level at 2.24 states/eV per cell. The formation energy is 0.133 eV per atom. For the energy above the lowest structure with this stoichiometry, the calculation gives 139 meV/atom. The total energy comes out at -2.63 eV/atom. The volume comes out at 167 Å³/f.u. Its total magnetic moment is 0.000 μB per atom.

Geometry as POSCAR:
```
MgIn4Sn
1.0
0.000 4.375 4.375
4.375 0.000 4.375
4.375 4.375 0.000
Mg In Sn
1 4 1
Cartesian
0.000 0.000 0.000
3.281 3.281 3.281
5.470 5.470 3.281
5.470 3.281 5.470
3.281 5.470 5.470
6.563 6.563 6.563
```



# 16
Material: Mg2InSn3
Method: DFT, GGA-PBE
State: relaxed

Computed properties:
The calculation puts the density of states at the Fermi level at 3.77 states/eV per cell. The formation energy is -0.062 eV per atom. For the energy above the lowest structure with this stoichiometry, the calculation gives 11 meV/atom. The total energy comes out at -3.05 eV/atom. The volume comes out at 151 Å³/f.u. Its total magnetic moment is 0.000 μB per atom.

Geometry as POSCAR:
```
Mg2InSn3
1.0
4.607 0.000 0.000
0.000 14.839 0.000
0.000 0.000 4.420
Mg In Sn
4 2 6
Cartesian
1.152 1.224 4.419
1.152 6.195 4.419
3.455 8.643 0.001
3.455 13.615 0.001
1.152 11.129 0.003
3.455 3.710 4.417
1.152 3.710 2.208
1.152 8.588 2.211
1.152 13.670 2.211
3.455 1.169 2.209
3.455 6.251 2.209
3.455 11.129 2.212
```



# 17
Material: MgInSn2
Method: DFT, GGA-PBE
State: relaxed

Computed properties:
The calculation puts the density of states at the Fermi level at 1.73 states/eV per cell. The formation energy is -0.033 eV per atom. For the energy above the lowest structure with this stoichiometry, the calculation gives 21 meV/atom. The total energy comes out at -3.12 eV/atom. The volume comes out at 103 Å³/f.u. Its total magnetic moment is 0.000 μB per atom.

Geometry as POSCAR:
```
MgInSn2
1.0
4.640 0.000 0.000
0.000 4.640 0.000
0.000 0.000 4.794
Mg In Sn
1 1 2
Cartesian
0.000 0.000 0.000
2.320 2.320 0.000
0.000 2.320 2.397
2.320 0.000 2.397
```



# 18
Material: Mg7In3Sn
Method: DFT, GGA-PBE
State: relaxed

Computed properties:
The calculation puts the density of states at the Fermi level at 2.41 states/eV per cell. The formation energy is -0.007 eV per atom. The total energy comes out at -2.13 eV/atom. The volume comes out at 277 Å³/f.u. Its total magnetic moment is 0.000 μB per atom.

Geometry as POSCAR:
```
Mg7In3Sn
1.0
5.251 -5.518 0.000
5.251 5.518 0.000
-3.014 0.000 4.773
Mg In Sn
7 3 1
Cartesian
0.000 0.000 0.000
2.463 2.529 1.564
0.902 0.000 3.927
5.025 2.529 3.210
2.463 -2.529 1.564
6.586 0.000 0.846
5.025 -2.529 3.210
5.251 2.524 0.000
3.744 0.000 2.387
5.251 -2.524 0.000
-1.507 0.000 2.387
```



# 19
Material: MgInSn
Method: DFT, GGA-PBE
State: relaxed

Computed properties:
The calculation puts the density of states at the Fermi level at 1.29 states/eV per cell. The formation energy is -0.031 eV per atom. The total energy comes out at -2.81 eV/atom. The volume comes out at 77 Å³/f.u. Its total magnetic moment is 0.000 μB per atom.

Geometry as POSCAR:
```
MgInSn
1.0
5.334 0.000 0.000
-2.667 4.619 0.000
0.000 0.000 3.105
Mg In Sn
1 1 1
Cartesian
0.000 0.000 0.000
2.667 1.540 1.560
0.000 3.080 1.540
```



# 20
Material: Mg10In6Sn
Method: DFT, GGA-PBE
State: relaxed

Computed properties:
The calculation puts the density of states at the Fermi level at 10.61 states/eV per cell. The formation energy is -0.045 eV per atom. The total energy comes out at -2.18 eV/atom. The volume comes out at 409 Å³/f.u. Its total magnetic moment is 0.000 μB per atom.

Geometry as POSCAR:
```
Mg10In6Sn
1.0
8.767 0.000 0.000
-4.384 7.593 0.000
0.000 0.000 6.149
Mg In Sn
10 6 1
Cartesian
-1.208 2.092 1.842
-3.176 5.501 4.307
2.416 0.000 1.842
1.208 2.092 4.307
0.000 5.062 0.000
0.000 5.062 3.074
4.384 2.531 0.000
4.384 2.531 3.074
6.352 0.000 4.307
3.176 5.501 1.842
-1.666 2.885 4.761
-2.718 4.708 1.388
3.331 0.000 4.761
1.666 2.885 1.388
5.436 0.000 1.388
2.718 4.708 4.761
0.000 0.000 0.000
```